Entry 1:
DFT (PBE) results for an optimized crystal structure of NdSmCdHg. Values from VASP.

Geometry as Quantum ESPRESSO input:
```
&SYSTEM
  ibrav = 0, nat = 4, ntyp = 4
/
ATOMIC_SPECIES
Cd 112.41 Cd.upf
Hg 200.59 Hg.upf
Sm 150.36 Sm.upf
Nd 144.24 Nd.upf
CELL_PARAMETERS angstrom
-3.746 0.023 0.762
0.518 -2.726 2.629
1.122 5.369 5.347
ATOMIC_POSITIONS angstrom
Cd 0.954 4.567 4.549
Hg 0.409 1.957 1.949
Sm -0.936 1.893 4.927
Nd -1.492 -0.769 2.275
```

Output
**Energy of formation from the pure elements**: -37.92 kJ/mol of atoms
**DFT total energy**: -3.069 eV per atom

***

Entry 2:
DFT (PBE) results for an optimized crystal structure of Li4NdAgSn2. Values from VASP.

Geometry as Quantum ESPRESSO input:
```
&SYSTEM
  ibrav = 0, nat = 8, ntyp = 4
/
ATOMIC_SPECIES
Nd 144.24 Nd.upf
Li 6.94 Li.upf
Sn 118.71 Sn.upf
Ag 107.87 Ag.upf
CELL_PARAMETERS angstrom
-3.393 2.077 2.591
-4.458 0.171 -1.625
-4.250 -6.549 4.033
ATOMIC_POSITIONS angstrom
Nd 0.000 0.000 0.000
Li -3.594 -3.616 2.542
Li -5.555 0.065 1.373
Li -6.546 -4.366 3.626
Li -8.507 -0.685 2.457
Sn -9.107 -3.366 3.821
Sn -2.994 -0.935 1.178
Ag -6.050 -2.150 2.500
```

Output
**Energy of formation from the pure elements**: -37.27 kJ/mol of atoms
**DFT total energy**: -3.296 eV per atom

***

Entry 3:
DFT (PBE) results for an optimized crystal structure of LiHg2Pb2. Values from VASP.

Geometry as Quantum ESPRESSO input:
```
&SYSTEM
  ibrav = 0, nat = 5, ntyp = 3
/
ATOMIC_SPECIES
Li 6.94 Li.upf
Pb 207.20 Pb.upf
Hg 200.59 Hg.upf
CELL_PARAMETERS angstrom
4.679 0.000 0.000
0.000 4.679 0.000
2.339 2.339 6.995
ATOMIC_POSITIONS angstrom
Li 0.000 0.000 0.000
Pb 2.339 4.679 3.498
Pb 4.679 2.339 3.498
Hg 2.339 2.339 1.375
Hg 4.679 4.679 5.621
```

Output
**Energy of formation from the pure elements**: 3.48 kJ/mol of atoms
**DFT total energy**: -1.951 eV per atom

***

Entry 4:
DFT (PBE) results for an optimized crystal structure of PdPbC2. Values from VASP.

Geometry as Quantum ESPRESSO input:
```
&SYSTEM
  ibrav = 0, nat = 8, ntyp = 3
/
ATOMIC_SPECIES
C 12.01 C.upf
Pb 207.20 Pb.upf
Pd 106.42 Pd.upf
CELL_PARAMETERS angstrom
5.131 0.000 0.000
0.000 5.131 0.000
2.565 2.565 5.040
ATOMIC_POSITIONS angstrom
C 1.604 3.848 1.260
C 3.848 4.170 3.780
C 6.413 6.092 3.780
C 3.526 1.283 1.260
Pb 5.131 2.565 2.520
Pb 0.000 0.000 0.000
Pd 2.565 5.131 2.520
Pd 2.565 2.565 0.000
```

Output
**Energy of formation from the pure elements**: 145.91 kJ/mol of atoms
**DFT total energy**: -5.325 eV per atom

***

Entry 5:
DFT (PBE) results for an optimized crystal structure of CeYBiS2. Values from VASP.

Geometry as Quantum ESPRESSO input:
```
&SYSTEM
  ibrav = 0, nat = 5, ntyp = 4
/
ATOMIC_SPECIES
S 32.06 S.upf
Ce 140.12 Ce.upf
Y 88.91 Y.upf
Bi 208.98 Bi.upf
CELL_PARAMETERS angstrom
4.475 0.000 0.000
0.000 4.475 0.000
-2.237 -2.237 6.909
ATOMIC_POSITIONS angstrom
S 0.000 2.237 3.442
S 2.237 0.000 3.442
Ce 2.237 2.237 5.001
Y 0.000 0.000 1.981
Bi 0.000 0.000 6.862
```

Output
**Formation energy from raw total energies**: -1339.9 meV per atom
**DFT total energy**: -6.247 eV per atom

***

Entry 6:
DFT (PBE) results for an optimized crystal structure of BaMn2Mo. Values from VASP.

Geometry as Quantum ESPRESSO input:
```
&SYSTEM
  ibrav = 0, nat = 4, ntyp = 3
/
ATOMIC_SPECIES
Mo 95.94 Mo.upf
Mn 54.94 Mn.upf
Ba 137.33 Ba.upf
CELL_PARAMETERS angstrom
-3.440 -0.802 3.368
-2.709 -2.323 -3.330
4.596 -1.420 0.824
ATOMIC_POSITIONS angstrom
Mo -3.074 -1.563 0.019
Mn -0.594 -2.653 -1.243
Mn 0.000 0.000 0.000
Ba -0.959 -1.893 2.106
```

Output
**Energy of formation from the pure elements**: 113.56 kJ/mol of atoms
**DFT total energy**: -6.596 eV per atom

***

Entry 7:
DFT (PBE) results for an optimized crystal structure of SnSbH2. Values from VASP.

Geometry as Quantum ESPRESSO input:
```
&SYSTEM
  ibrav = 0, nat = 8, ntyp = 3
/
ATOMIC_SPECIES
Sn 118.71 Sn.upf
H 1.01 H.upf
Sb 121.76 Sb.upf
CELL_PARAMETERS angstrom
-1.145 4.796 -0.233
0.903 -2.576 -5.924
-4.946 -1.192 -0.236
ATOMIC_POSITIONS angstrom
Sn -4.394 2.372 -2.326
Sn -0.793 -1.344 -4.067
H -4.810 -0.794 -4.828
H -0.378 1.822 -1.565
H -2.826 1.232 -1.681
H -2.362 -0.204 -4.711
Sb -3.865 0.776 -5.356
Sb -1.322 0.252 -1.036
```

Output
**DFT total energy**: -3.414 eV per atom

***

Entry 8:
DFT (PBE) results for an optimized crystal structure of SrBeSi2N4. Values from VASP.

Geometry as Quantum ESPRESSO input:
```
&SYSTEM
  ibrav = 0, nat = 8, ntyp = 4
/
ATOMIC_SPECIES
Si 28.09 Si.upf
N 14.01 N.upf
Sr 87.62 Sr.upf
Be 9.01 Be.upf
CELL_PARAMETERS angstrom
4.383 0.182 0.000
-0.182 4.383 0.000
-2.101 -2.283 4.612
ATOMIC_POSITIONS angstrom
Si 2.192 0.091 2.306
Si -0.091 2.192 2.306
N 3.033 1.425 1.396
N 0.858 0.932 3.221
N 1.168 3.141 1.396
N -0.858 -0.932 3.221
Sr 0.000 0.000 0.002
Be 0.000 0.000 4.602
```

Output
**Formation energy from raw total energies**: -672.0 meV per atom
**DFT total energy**: -6.866 eV per atom

***

Entry 9:
DFT (PBE) results for an optimized crystal structure of Na4TlSb5. Values from VASP.

Geometry as Quantum ESPRESSO input:
```
&SYSTEM
  ibrav = 0, nat = 10, ntyp = 3
/
ATOMIC_SPECIES
Sb 121.76 Sb.upf
Na 22.99 Na.upf
Tl 204.38 Tl.upf
CELL_PARAMETERS angstrom
-2.054 -1.863 -1.774
2.444 -0.705 -2.089
6.080 -19.859 13.815
ATOMIC_POSITIONS angstrom
Sb 0.876 -3.509 -0.384
Sb 5.594 -18.919 10.335
Sb 3.235 -11.214 4.976
Sb 4.412 -15.056 7.649
Sb 2.059 -7.371 2.303
Na 2.451 -8.007 5.570
Na 3.628 -11.852 8.245
Na 4.804 -15.694 10.917
Na 1.275 -4.165 2.898
Tl 0.000 0.000 0.000
```

Output
**Formation energy from raw total energies**: -235.8 meV per atom
**DFT total energy**: -3.061 eV per atom

***

Entry 10:
DFT (PBE) results for an optimized crystal structure of La2DyS3. Values from VASP.

Geometry as Quantum ESPRESSO input:
```
&SYSTEM
  ibrav = 0, nat = 12, ntyp = 3
/
ATOMIC_SPECIES
Dy 162.50 Dy.upf
S 32.06 S.upf
La 138.91 La.upf
CELL_PARAMETERS angstrom
6.947 -0.030 -1.164
-3.750 5.847 -1.164
-0.009 -0.016 7.081
ATOMIC_POSITIONS angstrom
Dy -3.754 5.829 5.917
Dy 3.376 1.932 -1.164
S 0.664 5.432 3.644
S -1.042 2.328 1.108
S 0.849 1.399 4.822
S 4.107 3.396 3.658
S 2.523 0.514 1.094
S 2.462 4.334 -0.069
La 5.159 0.941 2.376
La 1.553 2.923 2.376
La -0.185 3.888 -1.164
La -1.931 4.838 2.376
```

Output
**Formation energy from raw total energies**: -2109.8 meV per atom
**DFT total energy**: -6.583 eV per atom

***

Entry 11:
DFT (PBE) results for an optimized crystal structure of BaYCu3Se4. Values from VASP.

Geometry as Quantum ESPRESSO input:
```
&SYSTEM
  ibrav = 0, nat = 9, ntyp = 4
/
ATOMIC_SPECIES
Cu 63.55 Cu.upf
Se 78.96 Se.upf
Ba 137.33 Ba.upf
Y 88.91 Y.upf
CELL_PARAMETERS angstrom
6.461 0.000 0.000
0.000 6.461 0.000
0.000 0.000 6.461
ATOMIC_POSITIONS angstrom
Cu 0.000 3.230 0.000
Cu 3.230 0.000 0.000
Cu 0.000 0.000 3.230
Se 4.962 1.498 4.962
Se 1.498 1.498 1.498
Se 1.498 4.962 4.962
Se 4.962 4.962 1.498
Ba 3.230 3.230 3.230
Y 0.000 0.000 0.000
```

Output
**Formation energy from raw total energies**: -764.8 meV per atom
**DFT total energy**: -4.611 eV per atom

***

Entry 12:
DFT (PBE) results for an optimized crystal structure of La2PrY8. Values from VASP.

Geometry as Quantum ESPRESSO input:
```
&SYSTEM
  ibrav = 0, nat = 11, ntyp = 3
/
ATOMIC_SPECIES
Y 88.91 Y.upf
La 138.91 La.upf
Pr 140.91 Pr.upf
CELL_PARAMETERS angstrom
-4.820 -2.891 2.044
-0.040 -3.948 8.236
-2.746 4.885 7.392
ATOMIC_POSITIONS angstrom
Y -6.154 0.067 10.105
Y -1.453 -2.021 7.567
Y -3.410 -4.309 6.188
Y -1.451 -2.530 4.092
Y -4.009 0.553 7.036
Y -3.597 -2.508 10.635
Y -4.652 -1.688 4.207
Y -2.955 -0.266 13.465
La -1.090 0.717 5.402
La -1.697 0.220 10.225
Pr -2.410 -1.446 1.022
```

Output
**Energy of formation from the pure elements**: 15.11 kJ/mol of atoms
**DFT total energy**: -5.875 eV per atom

***

Entry 13:
DFT (PBE) results for an optimized crystal structure of TbHo2Tl3S6. Values from VASP.

Geometry as Quantum ESPRESSO input:
```
&SYSTEM
  ibrav = 0, nat = 12, ntyp = 4
/
ATOMIC_SPECIES
Tl 204.38 Tl.upf
S 32.06 S.upf
Tb 158.93 Tb.upf
Ho 164.93 Ho.upf
CELL_PARAMETERS angstrom
-5.252 -1.750 -4.238
6.332 -2.748 -0.979
-2.135 -4.214 6.298
ATOMIC_POSITIONS angstrom
Tl 3.337 -4.689 1.628
Tl -0.527 -4.356 0.541
Tl -4.392 -4.023 -0.546
S 1.775 -2.051 0.572
S -1.422 -4.597 3.648
S -2.114 -1.716 -0.521
S -2.830 -6.660 0.509
S 1.059 -6.995 1.603
S 0.368 -4.114 -2.567
Tb 0.000 0.000 0.000
Ho -1.391 -2.083 -3.152
Ho 2.470 -2.415 -2.065
```

Output
**Formation energy from raw total energies**: -1489.9 meV per atom
**DFT total energy**: -5.294 eV per atom

***

Entry 14:
DFT (PBE) results for an optimized crystal structure of CsAcTiO4. Values from VASP.

Geometry as Quantum ESPRESSO input:
```
&SYSTEM
  ibrav = 0, nat = 14, ntyp = 4
/
ATOMIC_SPECIES
O 16.00 O.upf
Ti 47.87 Ti.upf
Cs 132.91 Cs.upf
Ac 227.00 Ac.upf
CELL_PARAMETERS angstrom
6.399 0.000 0.112
0.000 6.268 0.000
-2.370 0.000 7.853
ATOMIC_POSITIONS angstrom
O 1.691 1.567 6.288
O 2.489 1.567 3.604
O -0.364 6.122 2.614
O 1.540 4.701 4.361
O -0.364 3.281 2.614
O 4.393 0.147 5.352
O 2.338 4.701 1.677
O 4.393 2.987 5.352
Ti 0.826 4.701 2.707
Ti 3.203 1.567 5.259
Cs 1.811 1.567 0.670
Cs 2.218 4.701 7.295
Ac 3.977 4.701 3.601
Ac 0.051 1.567 4.364
```

Output
**Formation energy from raw total energies**: -2905.5 meV per atom
**DFT total energy**: -7.575 eV per atom

***

Entry 15:
DFT (PBE) results for an optimized crystal structure of Ca2LaUSb4. Values from VASP.

Geometry as Quantum ESPRESSO input:
```
&SYSTEM
  ibrav = 0, nat = 8, ntyp = 4
/
ATOMIC_SPECIES
Sb 121.76 Sb.upf
La 138.91 La.upf
Ca 40.08 Ca.upf
U 238.03 U.upf
CELL_PARAMETERS angstrom
-3.759 -0.652 -2.497
3.525 -5.952 -3.752
-3.695 -2.664 6.260
ATOMIC_POSITIONS angstrom
Sb -1.930 -2.329 -0.650
Sb 1.801 -5.186 -1.357
Sb -2.000 -6.939 0.660
Sb -1.971 -3.429 3.864
La -0.117 -3.302 -3.125
Ca -0.085 -4.308 1.254
Ca -3.727 -1.658 1.882
U 0.000 0.000 0.000
```

Output
**Formation energy from raw total energies**: -803.8 meV per atom
**DFT total energy**: -5.392 eV per atom

***

Entry 16:
DFT (PBE) results for an optimized crystal structure of Si3RuN. Values from VASP.

Geometry as Quantum ESPRESSO input:
```
&SYSTEM
  ibrav = 0, nat = 5, ntyp = 3
/
ATOMIC_SPECIES
Ru 101.07 Ru.upf
Si 28.09 Si.upf
N 14.01 N.upf
CELL_PARAMETERS angstrom
3.907 0.000 0.000
0.000 3.907 0.000
0.000 0.000 3.907
ATOMIC_POSITIONS angstrom
Ru 1.954 1.954 1.954
Si 1.954 0.000 0.000
Si 0.000 1.954 0.000
Si 0.000 0.000 1.954
N 0.000 0.000 0.000
```

Output
**Formation energy from raw total energies**: 428.6 meV per atom
**DFT total energy**: -6.345 eV per atom

***

Entry 17:
DFT (PBE) results for an optimized crystal structure of CaIn3Hg7. Values from VASP.

Geometry as Quantum ESPRESSO input:
```
&SYSTEM
  ibrav = 0, nat = 22, ntyp = 3
/
ATOMIC_SPECIES
In 114.82 In.upf
Hg 200.59 Hg.upf
Ca 40.08 Ca.upf
CELL_PARAMETERS angstrom
3.589 0.000 0.000
-1.794 16.721 0.000
0.000 0.000 12.056
ATOMIC_POSITIONS angstrom
In 1.794 14.419 6.602
In 1.794 10.493 3.014
In 0.000 2.302 5.454
In 0.000 6.228 9.042
In 1.794 14.419 11.483
In 0.000 2.302 0.574
Hg 1.794 7.431 6.790
Hg 1.794 4.335 7.029
Hg 1.794 2.693 3.014
Hg 0.000 16.354 4.559
Hg 1.794 0.367 7.498
Hg 0.000 14.027 9.042
Hg 0.000 16.354 1.469
Hg 1.794 4.335 11.055
Hg 0.000 9.290 0.762
Hg 0.000 9.290 5.266
Hg 1.794 7.431 11.294
Hg 1.794 0.367 10.587
Hg 0.000 12.385 1.001
Hg 0.000 12.385 5.027
Ca 0.000 2.553 9.042
Ca 1.794 14.168 3.014
```

Output
**Energy of formation from the pure elements**: -5.18 kJ/mol of atoms
**DFT total energy**: -1.175 eV per atom

***

Entry 18:
DFT (PBE) results for an optimized crystal structure of Sr4LiCl10. Values from VASP.

Geometry as Quantum ESPRESSO input:
```
&SYSTEM
  ibrav = 0, nat = 15, ntyp = 3
/
ATOMIC_SPECIES
Cl 35.45 Cl.upf
Sr 87.62 Sr.upf
Li 6.94 Li.upf
CELL_PARAMETERS angstrom
-4.349 2.334 -0.824
-4.200 -2.661 -0.561
-5.891 0.778 18.111
ATOMIC_POSITIONS angstrom
Cl -8.935 -0.215 0.971
Cl -6.730 0.082 5.367
Cl -5.722 -0.212 -0.789
Cl -5.506 0.665 15.755
Cl -8.719 0.662 17.515
Cl -3.554 0.096 3.836
Cl -10.887 0.354 12.890
Cl -9.906 0.068 6.897
Cl -7.711 0.368 11.359
Cl -4.535 0.382 9.829
Sr -6.239 -0.061 2.374
Sr -10.397 0.211 9.900
Sr -4.043 0.239 6.826
Sr -8.201 0.511 14.352
Li 0.000 0.000 0.000
```

Output
**Formation energy from raw total energies**: -2156.9 meV per atom
**DFT total energy**: -3.964 eV per atom

***

Entry 19:
DFT (PBE) results for an optimized crystal structure of ScReSb. Values from VASP.

Geometry as Quantum ESPRESSO input:
```
&SYSTEM
  ibrav = 0, nat = 3, ntyp = 3
/
ATOMIC_SPECIES
Re 186.21 Re.upf
Sb 121.76 Sb.upf
Sc 44.96 Sc.upf
CELL_PARAMETERS angstrom
-3.155 -0.634 0.615
1.908 -2.312 -1.324
1.588 -2.109 5.971
ATOMIC_POSITIONS angstrom
Re 0.003 -0.003 0.010
Sb -0.983 -1.838 1.793
Sc 1.320 -3.214 3.459
```

Output
**Formation energy from raw total energies**: 118.0 meV per atom
**DFT total energy**: -7.516 eV per atom

***

Entry 20:
DFT (PBE) results for an optimized crystal structure of Pu2CdAg2. Values from VASP.

Geometry as Quantum ESPRESSO input:
```
&SYSTEM
  ibrav = 0, nat = 10, ntyp = 3
/
ATOMIC_SPECIES
Cd 112.41 Cd.upf
Ag 107.87 Ag.upf
Pu 244.00 Pu.upf
CELL_PARAMETERS angstrom
3.219 0.000 0.000
-1.609 5.756 0.945
0.000 -1.561 11.752
ATOMIC_POSITIONS angstrom
Cd 0.000 1.198 9.254
Cd 1.609 2.998 3.443
Ag 0.000 5.271 2.368
Ag 0.000 3.191 5.863
Ag 1.609 -1.075 10.329
Ag 1.609 1.004 6.834
Pu 1.609 4.029 8.511
Pu 0.000 2.135 0.817
Pu 1.609 2.061 11.880
Pu 0.000 0.166 4.186
```

Output
**Energy of formation from the pure elements**: 11.22 kJ/mol of atoms
**DFT total energy**: -6.940 eV per atom

***

Entry 21:
DFT (PBE) results for an optimized crystal structure of CeGdMn. Values from VASP.

Geometry as Quantum ESPRESSO input:
```
&SYSTEM
  ibrav = 0, nat = 3, ntyp = 3
/
ATOMIC_SPECIES
Gd 157.25 Gd.upf
Ce 140.12 Ce.upf
Mn 54.94 Mn.upf
CELL_PARAMETERS angstrom
-2.472 2.192 1.160
-2.179 -2.702 0.462
4.320 -0.412 4.700
ATOMIC_POSITIONS angstrom
Gd 1.244 -0.416 3.437
Ce 0.128 -0.043 0.353
Mn -1.703 -0.463 2.531
```

Output
**Energy of formation from the pure elements**: 17.58 kJ/mol of atoms
**DFT total energy**: -9.546 eV per atom

***

Entry 22:
DFT (PBE) results for an optimized crystal structure of K2DySnS4. Values from VASP.

Geometry as Quantum ESPRESSO input:
```
&SYSTEM
  ibrav = 0, nat = 8, ntyp = 4
/
ATOMIC_SPECIES
K 39.10 K.upf
S 32.06 S.upf
Dy 162.50 Dy.upf
Sn 118.71 Sn.upf
CELL_PARAMETERS angstrom
-0.226 -3.812 1.269
-1.116 -2.354 -7.267
6.358 -1.305 -2.787
ATOMIC_POSITIONS angstrom
K 6.358 -1.305 -2.787
K 3.066 -2.558 -0.759
S 0.938 -4.823 -1.559
S 4.078 -2.648 -7.225
S 4.217 -3.567 -3.584
S 0.800 -3.903 -5.200
Dy 2.621 -1.829 -5.027
Sn -0.671 -3.083 -2.999
```

Output
**Formation energy from raw total energies**: -1302.1 meV per atom
**DFT total energy**: -4.716 eV per atom

***

Entry 23:
DFT (PBE) results for an optimized crystal structure of HfTe3O. Values from VASP.

Geometry as Quantum ESPRESSO input:
```
&SYSTEM
  ibrav = 0, nat = 5, ntyp = 3
/
ATOMIC_SPECIES
Te 127.60 Te.upf
O 16.00 O.upf
Hf 178.49 Hf.upf
CELL_PARAMETERS angstrom
-3.040 1.956 4.085
-4.529 -1.367 -2.715
0.050 -4.905 2.386
ATOMIC_POSITIONS angstrom
Te 0.025 -2.452 1.193
Te -2.264 -0.683 -1.358
Te -1.520 0.978 2.042
O -3.759 -2.158 1.878
Hf 0.000 0.000 0.000
```

Output
**Formation energy from raw total energies**: 485.2 meV per atom
**DFT total energy**: -4.382 eV per atom